No. 1
A relaxed Nd5PaN6 crystal. Source: OQMD, functional GGA-PBE.

Unit cell a=6.253 b=10.819 c=6.242 alpha=90.00 beta=109.54 gamma=90.00
Space group C2/m (No. 12)
Unique sites:
1 Nd 0.000 0.000 0.000 [2 per cell]
2 Nd 0.000 0.166 0.500 [4 per cell]
3 Nd 0.000 0.333 0.000 [4 per cell]
4 Pa 0.000 0.500 0.500 [2 per cell]
5 N 0.230 0.500 0.264 [4 per cell]
6 N 0.232 0.346 0.735 [8 per cell]

Values from the calculation:
For the total energy, the calculation gives -8.43 eV per atom. For the theoretical density, the calculation gives 8.648 g/cm3.

***

No. 2
A relaxed DyYFe2Br2 crystal. Source: OQMD, functional GGA-PBE.

Unit cell a=3.8536 b=3.8536 c=11.6189 alpha=90.00 beta=90.00 gamma=120.00
Space group P3m1 (No. 156)
Unique sites:
1 Dy 0.0000 0.0000 0.0000 [1 per cell]
2 Y 0.0000 0.0000 0.3390 [1 per cell]
3 Fe 0.3333 0.6667 0.1625 [1 per cell]
4 Fe 0.6667 0.3333 0.1760 [1 per cell]
5 Br 0.3333 0.6667 0.5044 [1 per cell]
6 Br 0.6667 0.3333 0.8344 [1 per cell]

Values from the calculation:
For the total energy, the calculation gives -6.11 eV per atom. For the theoretical density, the calculation gives 5.811 g/cm3.